# TaRe2Cl

TaRe2Cl after structural relaxation (PBEsol, Alexandria).

Cell lengths 4.9555, 9.4516, 2.7345 Å; angles 90.00, 90.00, 90.00 degrees
Closest atoms and distances in Å follow each position.
Space group Cmmm (No. 65)
Symmetry-distinct sites (fractional):
Ta 0.0000 0.0000 0.0000 [2 per cell]  2 Cl 2.48, 2 Ta 2.73
Re 0.2500 0.2500 0.5000 [4 per cell]  4 Re 2.48-2.73
Cl 0.0000 0.5000 0.0000 [2 per cell]  2 Ta 2.48, 2 Cl 2.73

Calculated values
Energy relative to the elements, uncorrected, meV/atom: 901.5
Magnetic moment, μB/atom: 0.00
Crystal system: orthorhombic